1.
An optimized crystal structure of Er5Bi2Te, computed with PBE.

Summary:
Final energy ... -74.927 eV for the cell shown
ΔE_f (raw) ... -0.47 eV/atom
Fermi-level density of states ... 0.85 states/eV/atom
SG ... No. 63
Total magnetic moment ... 0.00 μB/f.u.
Calculated volume ... 513.2 Å³ per cell

Cell lengths 6.0809, 6.9534, 13.4948 Å; angles 90.00, 90.00, 115.93 degrees
Sites, in units of the cell vectors:
Er1 0.0565 0.1131 0.3904
Er2 0.3703 0.7406 0.7500
Bi1 0.8112 0.6225 0.4090
Er3 0.3805 0.7610 0.0610
Er4 0.9435 0.8869 0.6096
Bi2 0.1888 0.3775 0.5910
Te1 0.7591 0.5182 0.7500
Bi3 0.8112 0.6225 0.0910
Er5 0.0565 0.1131 0.1096
Bi4 0.1888 0.3775 0.9090
Er6 0.6195 0.2390 0.5610
Er7 0.6195 0.2390 0.9390
Er8 0.9435 0.8869 0.8904
Er9 0.3805 0.7610 0.4390
Er10 0.6297 0.2594 0.2500
Te2 0.2409 0.4818 0.2500

2.
An optimized crystal structure of Si2W3, computed with PBE.

Summary:
Final energy ... -48.577 eV for the cell shown
ΔE_f (raw) ... 0.23 eV/atom
Fermi-level density of states ... 0.80 states/eV/atom
SG ... No. 166
Total magnetic moment ... 0.00 μB/f.u.
Energy above the most stable polymorph in this dataset ... 225.6 meV/atom
Calculated volume ... 75.3 Å³ per cell

Cell lengths 10.9830, 10.9830, 10.9830 Å; angles 14.80, 14.80, 14.80 degrees
Sites, in units of the cell vectors:
W1 0.2032 0.2032 0.2032
W2 0.0000 0.0000 0.0000
W3 0.7968 0.7968 0.7968
Si1 0.6008 0.6008 0.6008
Si2 0.3992 0.3992 0.3992

3.
An optimized crystal structure of CeNdTl2, computed with PBE.

Summary:
Final energy ... -16.623 eV for the cell shown
Fermi-level density of states ... 2.28 states/eV/atom
SG ... No. 123
ΔE_f ... -0.297 eV per atom
Total magnetic moment ... 1.69 μB/f.u.
Calculated volume ... 117.3 Å³ per cell

Cell lengths 4.5426, 5.0822, 5.0822 Å; angles 90.00, 90.00, 90.00 degrees
Sites, in units of the cell vectors:
Ce1 0.5000 0.5000 0.5000
Tl1 0.0000 0.5000 0.0000
Tl2 0.0000 0.0000 0.5000
Nd1 0.5000 0.0000 0.0000

4.
An optimized crystal structure of BeCdF2, computed with PBE.

Summary:
Final energy ... -33.417 eV for the cell shown
ΔE_f (raw) ... -2.08 eV/atom
Fermi-level density of states ... 0.07 states/eV/atom
SG ... No. 227
Total magnetic moment ... 0.00 μB/f.u.
Energy above the most stable polymorph in this dataset ... 0.0 meV/atom
Calculated volume ... 109.7 Å³ per cell

Cell lengths 5.3739, 5.3739, 5.3739 Å; angles 60.00, 60.00, 60.00 degrees
Sites, in units of the cell vectors:
F1 0.1250 0.1250 0.1250
Be1 0.0000 0.0000 0.0000
Cd1 0.5000 0.5000 0.5000
F2 0.1250 0.1250 0.6250
Be2 0.2500 0.2500 0.2500
F3 0.1250 0.6250 0.1250
F4 0.6250 0.1250 0.1250
Cd2 0.7500 0.7500 0.7500